Below is a relaxed structure of HoCd8Au6, with properties calculated at the PBE level.

a b c (Å): 7.4673 7.4673 7.4673
angles (deg): 66.68 66.68 66.68
With the nearest neighbours (Å) after each atom.
Positions (direct):
1 Ho 0.0000 0.0000 0.0000  6 Au 2.93
2 Cd 0.1190 0.7910 0.4463  5 Au 2.80-2.97
3 Cd 0.2090 0.5537 0.8810  5 Au 2.80-2.97
4 Cd 0.3323 0.3323 0.3323  6 Au 2.86-2.87
5 Cd 0.4463 0.1190 0.7910  5 Au 2.80-2.97
6 Cd 0.5537 0.8810 0.2090  5 Au 2.80-2.97
7 Cd 0.6677 0.6677 0.6677  6 Au 2.86-2.87
8 Cd 0.7910 0.4463 0.1190  5 Au 2.80-2.97
9 Cd 0.8810 0.2090 0.5537  5 Au 2.80-2.97
10 Au 0.0545 0.3906 0.7135  7 Cd 2.80-2.97, 1 Ho 2.93
11 Au 0.2865 0.9455 0.6094  7 Cd 2.80-2.97, 1 Ho 2.93
12 Au 0.3906 0.7135 0.0545  7 Cd 2.80-2.97, 1 Ho 2.93
13 Au 0.6094 0.2865 0.9455  7 Cd 2.80-2.97, 1 Ho 2.93
14 Au 0.7135 0.0545 0.3906  7 Cd 2.80-2.97, 1 Ho 2.93
15 Au 0.9455 0.6094 0.2865  7 Cd 2.80-2.97, 1 Ho 2.93

Results
* size of the total moment: 0.00 μB/f.u.
* ΔH_f (0 K): -264 meV/atom